{
  "formula": "Sc2Ga2Bi",
  "functional": "PBE-GGA",
  "state": "optimized geometry",
  "lattice": [[7.3788, 0.0000, 0.0000], [0.0000, 7.3788, 0.0000], [0.0000, 0.0000, 3.9922]],
  "species": ["Sc", "Sc", "Sc", "Sc", "Ga", "Ga", "Ga", "Ga", "Bi", "Bi"],
  "fractional_positions": [[0.1738, 0.3262, 0.0000], [0.3262, 0.8262, 0.0000], [0.6738, 0.1738, 0.0000], [0.8262, 0.6738, 0.0000], [0.1198, 0.6198, 0.5000], [0.3802, 0.1198, 0.5000], [0.6198, 0.8802, 0.5000], [0.8802, 0.3802, 0.5000], [0.0000, 0.0000, 0.5000], [0.5000, 0.5000, 0.5000]],
  "delta_e_f_mev_per_atom": -461,
  "volume_a3_per_cell": 217.4,
  "crystal_system": "tetragonal",
  "spacegroup": "P4/mbm (127)",
  "de_polymorph_mev_per_atom": 0.0
}